1.
Sb2AsIr: optimized geometry, PBE-GGA.

abc: 4.6241 4.6241 6.3570
angles: 71.33 71.33 48.53
Closest atoms and distances in Å follow each position.
Sites, in units of the cell vectors:
1 Sb 0.9153 0.9153 0.0400  2 Ir 2.77, 1 As 2.87, 1 Sb 3.09
2 Sb 0.7172 0.7172 0.7135  2 Ir 2.78, 1 As 2.79, 1 Sb 3.09
3 Ir 0.2863 0.2863 0.3740  3 As 2.48-2.57, 4 Sb 2.77-2.78
4 As 0.5812 0.5812 0.3725  3 Ir 2.48-2.57

Results
Uncorrected formation energy ... 0.031 eV/atom
Distance to the lowest polymorph of the same formula ... 0.30 eV per formula unit
Symmetry ... No. 8
E_tot ... -21.6 eV/f.u.
DOS(E_F) ... 2.6 states/eV/f.u.
Total magnetic moment ... 0.0 μB/f.u.

2.
NbCrIr2Pb: optimized geometry, PBE-GGA.

abc: 4.8940 4.8940 5.1014
angles: 90.00 90.00 90.00
Closest atoms and distances in Å follow each position.
Sites, in units of the cell vectors:
1 Cr 0.5000 0.5000 0.5000  4 Nb 3.46, 8 Ir 3.53
2 Nb 0.0000 0.0000 0.5000  2 Pb 2.55
3 Ir 0.0000 0.5000 0.0000  2 Pb 2.45
4 Ir 0.5000 0.0000 0.0000  2 Pb 2.45
5 Pb 0.0000 0.0000 0.0000  4 Ir 2.45, 2 Nb 2.55

Results
Energy of formation ... 2.635 eV/atom
Symmetry ... No. 123
E_tot ... -27.9 eV/f.u.
DOS(E_F) ... 9.4 states/eV/f.u.
Total magnetic moment ... 0.5 μB/f.u.

3.
La2Dy15Er2: optimized geometry, PBE-GGA.

abc: 8.7262 8.7262 8.7262
angles: 79.66 79.66 79.66
Closest atoms and distances in Å follow each position.
Sites, in units of the cell vectors:
1 Dy 0.6950 0.0000 0.3050  6 Dy 3.26-3.41
2 Dy 0.0000 0.6950 0.3050  6 Dy 3.26-3.41
3 Dy 0.0000 0.5000 0.0000  2 La 3.34, 8 Dy 3.36-3.41
4 Dy 0.8448 0.3715 0.3715  6 Dy 3.22-3.36
5 Dy 0.6950 0.3050 0.0000  6 Dy 3.26-3.41
6 Dy 0.3050 0.6950 0.0000  6 Dy 3.26-3.41
7 Dy 0.0000 0.0000 0.5000  2 La 3.34, 8 Dy 3.36-3.41
8 Dy 0.5000 0.0000 0.0000  2 La 3.34, 8 Dy 3.36-3.41
9 Dy 0.1552 0.6285 0.6285  6 Dy 3.22-3.36
10 Dy 0.0000 0.3050 0.6950  6 Dy 3.26-3.41
11 Dy 0.6285 0.6285 0.1552  6 Dy 3.22-3.36
12 Dy 0.3050 0.0000 0.6950  6 Dy 3.26-3.41
13 Dy 0.3715 0.8448 0.3715  6 Dy 3.22-3.36
14 Dy 0.6285 0.1552 0.6285  6 Dy 3.22-3.36
15 Dy 0.3715 0.3715 0.8448  6 Dy 3.22-3.36
16 La 0.1173 0.1173 0.1173  6 Dy 3.34-3.67, 1 Er 3.72
17 La 0.8827 0.8827 0.8827  6 Dy 3.34-3.67, 1 Er 3.72
18 Er 0.3287 0.3287 0.3287  1 La 3.72, 12 Dy 3.90-4.13
19 Er 0.6713 0.6713 0.6713  1 La 3.72, 12 Dy 3.90-4.13

Results
Energy of formation ... 0.294 eV/atom
Symmetry ... No. 166
E_tot ... -82.4 eV/f.u.
DOS(E_F) ... 31.7 states/eV/f.u.
Total magnetic moment ... 0.0 μB/f.u.

4.
BeSbPt2: optimized geometry, PBE-GGA.

abc: 3.5543 3.5703 5.4780
angles: 71.74 90.00 90.00
Closest atoms and distances in Å follow each position.
Sites, in units of the cell vectors:
1 Pt 0.0000 0.9000 0.9610  2 Be 2.27
2 Pt 0.0000 0.6000 0.5390  2 Be 2.27
3 Sb 0.5000 0.2500 0.2500  2 Be 2.76, 8 Pt 2.91-2.96
4 Be 0.5000 0.7500 0.7500  4 Pt 2.27

Results
Uncorrected formation energy ... -0.241 eV/atom
Distance to the lowest polymorph of the same formula ... 0.66 eV per formula unit
Symmetry ... No. 10
E_tot ... -20.9 eV/f.u.
DOS(E_F) ... 1.8 states/eV/f.u.
Total magnetic moment ... 0.0 μB/f.u.